(1)
VASP calculation (PBE) on a relaxed structure of Ho2ErCo6Ni3.

Cell: 4.8796 4.8796 24.6315 Å, 90.00 90.00 120.00°
Space group R-3m (No. 166, hexagonal axes)
One atom of each set of equivalent atoms:
1 Ho 0.0000 0.0000 0.1391
2 Er 0.0000 0.0000 0.0000
3 Co 0.0007 0.5004 0.9185
4 Ni 0.0000 0.0000 0.3333
5 Ni 0.0000 0.0000 0.5000

Values from the calculation:
spin magnetization	0.583	μB/atom
E	-0.4671	Ry/atom
DFT formation energy	-267.0	meV per atom

***

(2)
VASP calculation (PBE) on a relaxed structure of NdLuPO.

Cell: 4.334 4.334 8.773 Å, 90.00 90.00 90.00°
Space group P4/nmm (No. 129, origin choice 2)
One atom of each set of equivalent atoms:
1 Nd 0.250 0.250 0.116
2 Lu 0.250 0.750 0.500
3 P 0.250 0.250 0.682
4 O 0.250 0.750 0.000

Values from the calculation:
excess energy over the best structure of this formula in the dataset	0.0	meV/atom
spin magnetization	0.013	μB/atom
E	-0.5046	Ry/atom

***

(3)
VASP calculation (PBE) on a relaxed structure of PrPuIr.

Cell: 4.788 12.753 7.360 Å, 90.00 90.00 90.00°
Space group Amm2 (No. 38)
One atom of each set of equivalent atoms:
1 Pr 0.000 0.000 0.000
2 Pr 0.000 0.209 0.626
3 Pu 0.500 0.000 0.667
4 Pu 0.500 0.125 0.292
5 Ir 0.000 0.000 0.418
6 Ir 0.500 0.167 0.917

Values from the calculation:
excess energy over the best structure of this formula in the dataset	0.0	meV/atom
spin magnetization	1.897	μB/atom
E	-0.7196	Ry/atom
DFT formation energy	-538.1	meV per atom

***

(4)
VASP calculation (PBE) on a relaxed structure of CsGdCoSe3.

Cell: 10.834 4.188 15.172 Å, 90.00 90.00 90.00°
Space group Pnma (No. 62)
One atom of each set of equivalent atoms:
1 Cs 0.029 0.250 0.160
2 Gd 0.150 0.750 0.436
3 Co 0.149 0.250 0.629
4 Se 0.032 0.750 0.612
5 Se 0.204 0.750 0.009
6 Se 0.235 0.250 0.770

Values from the calculation:
excess energy over the best structure of this formula in the dataset	83.4	meV/atom
spin magnetization	0.500	μB/atom
E	-0.3632	Ry/atom

***

(5)
VASP calculation (PBE) on a relaxed structure of ErF.

Cell: 3.7163 3.7163 5.3187 Å, 90.00 90.00 120.00°
Space group P6_3/mmc (No. 194)
One atom of each set of equivalent atoms:
1 Er 0.3333 0.6667 0.2500
2 F 0.0000 0.0000 0.0000

Values from the calculation:
excess energy over the best structure of this formula in the dataset	88.4	meV/atom
spin magnetization	0.004	μB/atom
E	-0.3970	Ry/atom